A plane-wave DFT calculation with GGA-PBE was carried out for an optimized crystal structure of Pm2YUO8.

a = 3.904 Å, b = 5.474 Å, c = 7.636 Å
α = 90.00°, β = 90.00°, γ = 90.02°
Atoms (fractional coordinates):
O1 0.500 0.225 0.000
O2 0.500 0.756 0.500
O3 0.000 0.765 0.226
O4 0.000 0.235 0.226
O5 0.500 0.244 0.500
O6 0.000 0.235 0.774
O7 0.500 0.775 0.000
O8 0.000 0.765 0.774
Pm1 0.500 0.500 0.750
Pm2 0.500 0.500 0.250
Y1 0.000 0.000 0.500
U1 0.000 0.000 0.000

Results
VASP energy (eV per cell): -105.5
Symmetry: Pmmm (47)
Spin magnetization (Bohr magnetons per cell): 0.005
Formation energy (no corrections) (eV per atom): -3.2130